1.
# MgScMo2

A relaxed MgScMo2 crystal (PBE, Alexandria via LeMat-Bulk).

abc: 5.593 9.405 2.757
angles: 90.00 103.40 90.00
Sites, in units of the cell vectors:
Mg (0.000, 0.000, 0.000)
Mg (0.500, 0.500, 0.000)
Sc (0.000, 0.500, 0.000)
Sc (0.500, 0.000, 0.000)
Mo (0.250, 0.250, 0.500)
Mo (0.250, 0.750, 0.500)
Mo (0.750, 0.250, 0.500)
Mo (0.750, 0.750, 0.500)

Computed properties:
For the formation enthalpy at 0 K, the calculation gives 268 meV/atom. The space group is C2/m, No. 12.

=====

2.
# TeRu2Pb

A relaxed TeRu2Pb crystal (PBE, Alexandria via LeMat-Bulk).

abc: 4.732 4.732 3.307
angles: 90.00 90.00 90.00
Sites, in units of the cell vectors:
Te (0.000, 0.000, 0.000)
Ru (0.000, 0.500, 0.500)
Ru (0.500, 0.000, 0.500)
Pb (0.500, 0.500, 0.000)

Computed properties:
The space group is P4/mmm, No. 123. The formation energy (no corrections) is 0.4445 eV per atom.

=====

3.
# Pm2ErOs

A relaxed Pm2ErOs crystal (PBE, Alexandria via LeMat-Bulk).

abc: 4.070 11.943 9.167
angles: 90.00 90.00 90.00
Sites, in units of the cell vectors:
Pm (0.000, 0.142, 0.067)
Pm (0.000, 0.142, 0.433)
Pm (0.000, 0.858, 0.567)
Pm (0.000, 0.858, 0.933)
Pm (0.500, 0.358, 0.567)
Pm (0.500, 0.358, 0.933)
Pm (0.500, 0.642, 0.067)
Pm (0.500, 0.642, 0.433)
Er (0.000, 0.421, 0.250)
Er (0.000, 0.579, 0.750)
Er (0.500, 0.079, 0.750)
Er (0.500, 0.921, 0.250)
Os (0.000, 0.239, 0.750)
Os (0.000, 0.761, 0.250)
Os (0.500, 0.261, 0.250)
Os (0.500, 0.739, 0.750)

Computed properties:
For the formation enthalpy at 0 K, the calculation gives -160 meV/atom. The space group is Cmcm, No. 63.

=====

4.
# LiFeCl6

A relaxed LiFeCl6 crystal (PBE, Alexandria via LeMat-Bulk).

abc: 7.025 11.071 6.814
angles: 90.00 103.16 90.00
Sites, in units of the cell vectors:
Li (0.000, 0.000, 0.000)
Li (0.500, 0.500, 0.000)
Fe (0.000, 0.000, 0.500)
Fe (0.500, 0.500, 0.500)
Cl (0.023, 0.141, 0.279)
Cl (0.023, 0.859, 0.279)
Cl (0.063, 0.500, 0.883)
Cl (0.437, 0.000, 0.117)
Cl (0.477, 0.359, 0.721)
Cl (0.477, 0.641, 0.721)
Cl (0.523, 0.359, 0.279)
Cl (0.523, 0.641, 0.279)
Cl (0.563, 0.000, 0.883)
Cl (0.937, 0.500, 0.117)
Cl (0.977, 0.141, 0.721)
Cl (0.977, 0.859, 0.721)

Computed properties:
The space group is C2/m, No. 12. The formation energy (no corrections) is -0.7101 eV per atom.

=====

Computed calculated volume (A^3/atom) in order:
17.637; 18.509; 27.848; 32.248